(1)
A geometry-optimized VS2 structure, computed with GGA-PBEsol.

POSCAR file:
```
VS2
1.0
3.122 0.000 0.000
-1.561 2.703 0.000
0.000 0.000 11.788
S V
4 2
direct
0.333 0.667 0.625
0.667 0.333 0.125
0.333 0.667 0.875
0.667 0.333 0.375
0.667 0.333 0.750
0.333 0.667 0.250
```

Properties
Total moment ... 0.65 μB per formula unit
Electronic total energy ... -42.5 eV for the cell shown
Raw formation energy ... -0.945 eV/atom
Space-group type ... P6_3/mmc (194)
DOS at the Fermi energy ... 1.91 states/eV/f.u.

(2)
A geometry-optimized VS2 structure, computed with GGA-PBEsol.

POSCAR file:
```
VS2
1.0
-1.309 6.322 -0.488
-5.548 1.958 -2.702
-4.634 2.639 3.672
V S
4 8
direct
0.125 0.625 0.125
0.125 0.125 0.625
0.125 0.125 0.125
0.625 0.125 0.125
0.862 0.379 0.379
0.871 0.871 0.871
0.871 0.388 0.871
0.871 0.871 0.388
0.388 0.871 0.871
0.379 0.379 0.379
0.379 0.379 0.862
0.379 0.862 0.379
```

Properties
Total moment ... 0.00 μB per formula unit
Electronic total energy ... -84.1 eV for the cell shown
Raw formation energy ... -0.877 eV/atom
Space-group type ... Fd-3m (227)
DOS at the Fermi energy ... 2.07 states/eV/f.u.

(3)
A geometry-optimized V3S5 structure, computed with GGA-PBEsol.

POSCAR file:
```
V3S5
1.0
-5.293 -1.508 0.302
1.405 -3.811 5.108
0.781 7.609 2.038
V S
6 10
direct
0.813 0.107 0.106
0.187 0.893 0.894
0.000 0.500 0.500
0.608 0.713 0.717
0.392 0.287 0.283
0.500 0.000 0.500
0.887 0.853 0.597
0.682 0.452 0.198
0.483 0.059 0.805
0.285 0.646 0.398
0.080 0.254 0.994
0.715 0.354 0.602
0.517 0.941 0.195
0.318 0.548 0.802
0.113 0.147 0.403
0.920 0.746 0.006
```

Properties
Total moment ... 0.88 μB per formula unit
Electronic total energy ... -117.7 eV for the cell shown
Raw formation energy ... -1.004 eV/atom
Space-group type ... P-1 (2)
DOS at the Fermi energy ... 4.61 states/eV/f.u.

(4)
A geometry-optimized V2ZnS4 structure, computed with GGA-PBEsol.

POSCAR file:
```
V2ZnS4
1.0
6.925 0.000 0.000
3.463 5.997 0.000
3.463 1.999 5.654
V Zn S
4 2 8
direct
0.668 0.111 0.111
0.111 0.111 0.111
0.111 0.111 0.668
0.111 0.668 0.111
0.500 0.500 0.500
0.750 0.750 0.750
0.911 0.363 0.363
0.879 0.879 0.879
0.879 0.363 0.879
0.879 0.879 0.363
0.363 0.911 0.363
0.363 0.363 0.911
0.363 0.879 0.879
0.363 0.363 0.363
```

Properties
Total moment ... 2.06 μB per formula unit
Electronic total energy ... -89.2 eV for the cell shown
Raw formation energy ... -0.886 eV/atom
Space-group type ... F-43m (216)
DOS at the Fermi energy ... 2.87 states/eV/f.u.

(5)
A geometry-optimized V4ZnS8 structure, computed with GGA-PBEsol.

POSCAR file:
```
V4ZnS8
1.0
-3.347 -4.488 -2.819
1.019 -1.345 -6.036
3.589 -6.268 -1.252
V Zn S
4 1 8
direct
0.500 0.000 0.000
0.500 0.500 0.000
0.000 0.500 0.000
0.000 0.000 0.000
0.500 0.500 0.500
0.755 0.258 0.232
0.742 0.245 0.768
0.245 0.742 0.768
0.245 0.245 0.768
0.256 0.256 0.231
0.744 0.744 0.769
0.755 0.755 0.232
0.258 0.755 0.232
```

Properties
Total moment ... 0.01 μB per formula unit
Electronic total energy ... -86.8 eV for the cell shown
Raw formation energy ... -0.894 eV/atom
Space-group type ... R-3m (166)
DOS at the Fermi energy ... 8.45 states/eV/f.u.

(6)
A geometry-optimized WS2 structure, computed with GGA-PBEsol.

POSCAR file:
```
WS2
1.0
-1.373 0.862 -2.694
-1.209 -2.354 1.698
-11.132 12.758 9.754
S W
6 3
direct
0.333 0.667 0.580
0.667 0.333 0.100
0.667 0.333 0.740
0.667 0.333 0.260
0.667 0.333 0.900
0.333 0.667 0.420
0.333 0.667 0.180
0.333 0.667 0.820
0.667 0.333 0.500
```

Properties
Total moment ... 0.00 μB per formula unit
Electronic total energy ... -75.8 eV for the cell shown
Raw formation energy ... -0.896 eV/atom
Space-group type ... P-6m2 (187)

(7)
A geometry-optimized WS2 structure, computed with GGA-PBEsol.

POSCAR file:
```
WS2
1.0
6.524 -0.162 -0.096
5.841 2.909 -0.096
5.841 1.298 2.605
S W
2 1
direct
0.417 0.417 0.417
0.251 0.251 0.251
0.001 0.001 0.001
```

Properties
Total moment ... 0.00 μB per formula unit
Electronic total energy ... -25.3 eV for the cell shown
Raw formation energy ... -0.897 eV/atom
Space-group type ... R3m (160)

(8)
A geometry-optimized WS2 structure, computed with GGA-PBEsol.

POSCAR file:
```
WS2
1.0
-2.127 2.294 -0.320
0.856 -1.710 -2.496
-9.181 -8.171 2.449
S W
4 2
direct
0.333 0.667 0.375
0.667 0.333 0.625
0.667 0.333 0.875
0.333 0.667 0.125
0.667 0.333 0.250
0.333 0.667 0.750
```

Properties
Total moment ... 0.00 μB per formula unit
Electronic total energy ... -50.5 eV for the cell shown
Raw formation energy ... -0.898 eV/atom
Space-group type ... P6_3/mmc (194)

Please write out number 8 again, unchanged.
A geometry-optimized WS2 structure, computed with GGA-PBEsol.

POSCAR file:
```
WS2
1.0
-2.127 2.294 -0.320
0.856 -1.710 -2.496
-9.181 -8.171 2.449
S W
4 2
direct
0.333 0.667 0.375
0.667 0.333 0.625
0.667 0.333 0.875
0.333 0.667 0.125
0.667 0.333 0.250
0.333 0.667 0.750
```

Properties
Total moment ... 0.00 μB per formula unit
Electronic total energy ... -50.5 eV for the cell shown
Raw formation energy ... -0.898 eV/atom
Space-group type ... P6_3/mmc (194)

- Number 7 is which compound?
  WS2

Please write out number 1 again, unchanged.
A geometry-optimized VS2 structure, computed with GGA-PBEsol.

POSCAR file:
```
VS2
1.0
3.122 0.000 0.000
-1.561 2.703 0.000
0.000 0.000 11.788
S V
4 2
direct
0.333 0.667 0.625
0.667 0.333 0.125
0.333 0.667 0.875
0.667 0.333 0.375
0.667 0.333 0.750
0.333 0.667 0.250
```

Properties
Total moment ... 0.65 μB per formula unit
Electronic total energy ... -42.5 eV for the cell shown
Raw formation energy ... -0.945 eV/atom
Space-group type ... P6_3/mmc (194)
DOS at the Fermi energy ... 1.91 states/eV/f.u.

- Which of these has the highest total moment?
  V2ZnS4